This record from the Alexandria database describes an optimized crystal structure of K2MnPt. The functional is PBE-GGA.

```
data_K2MnPt
_chemical_formula_sum 'K4 Mn2 Pt2'
_cell_length_a 20.095
_cell_length_b 3.267
_cell_length_c 4.101
_cell_angle_alpha 90.00
_cell_angle_beta 101.48
_cell_angle_gamma 90.00
_space_group_name_H-M_alt 'C 1 2/m 1'
_space_group_IT_number 12
_space_group_name_Hall '-C 2y'
loop_
_atom_site_label
_atom_site_type_symbol
_atom_site_fract_x
_atom_site_fract_y
_atom_site_fract_z
K1 K 0.147 0.000 0.143
Mn1 Mn 0.000 0.000 0.500
Pt1 Pt 0.000 0.500 0.000
```

Magnetic moment   9.1 Bohr magnetons per cell
Total DFT energy (no corrections)   -33.8 eV per cell
ΔH_f (0 K)   127.4 meV/atom